(1)
SmDy5Ho6 | GGA-PBE | relaxed

Calculated values
Formation energy from the elements: 0.21 eV/f.u.

Unit cell a=6.1304 b=10.6094 c=11.7224 alpha=90.00 beta=99.99 gamma=90.00
Space group C2/m (No. 12)
Unique sites:
Sm (0.0000, 0.0000, 0.0000) (multiplicity 2)
Dy (0.0000, 0.1668, 0.5000) (multiplicity 4)
Dy (0.0000, 0.3333, 0.0000) (multiplicity 4)
Dy (0.0000, 0.5000, 0.5000) (multiplicity 2)
Ho (0.2494, 0.5000, 0.2508) (multiplicity 4)
Ho (0.2501, 0.1669, 0.2509) (multiplicity 8)

(2)
MgNbH4 | GGA-PBE | relaxed

Calculated values
VASP energy: -104.82 eV/cell

Unit cell a=4.6926 b=4.6926 c=8.7661 alpha=90.00 beta=90.00 gamma=90.00
Space group I4_1/amd (No. 141, origin choice 2)
Unique sites:
Mg (0.0000, 0.2500, 0.3750) (multiplicity 4)
Nb (0.0000, 0.2500, 0.8750) (multiplicity 4)
H (0.2399, 0.0000, 0.0000) (multiplicity 16)

(3)
DyTh14Sc | GGA-PBE | relaxed

Calculated values
Formation energy from the elements: 0.57 eV/f.u.

Unit cell a=11.5205 b=7.1455 c=12.3690 alpha=90.00 beta=90.00 gamma=90.00
Space group Amm2 (No. 38)
Unique sites:
Dy (0.0000, 0.0000, 0.0000) (multiplicity 2)
Th (0.0000, 0.2483, 0.7549) (multiplicity 4)
Th (0.2474, 0.2487, 0.5851) (multiplicity 8)
Th (0.2483, 0.0000, 0.3366) (multiplicity 4)
Th (0.2513, 0.0000, 0.8357) (multiplicity 4)
Th (0.5000, 0.0000, 0.1678) (multiplicity 2)
Th (0.5000, 0.0000, 0.6675) (multiplicity 2)
Th (0.5000, 0.2494, 0.4184) (multiplicity 4)
Sc (0.0000, 0.0000, 0.5002) (multiplicity 2)

(4)
InGa2PdBr | GGA-PBE | relaxed

Calculated values
Formation energy without anion corrections: -0.42 eV/atom

Unit cell a=4.8919 b=4.8919 c=5.3084 alpha=90.00 beta=90.00 gamma=90.00
Space group P4/mmm (No. 123)
Unique sites:
In (0.0000, 0.0000, 0.0000) (multiplicity 1)
Ga (0.0000, 0.5000, 0.5000) (multiplicity 2)
Pd (0.0000, 0.0000, 0.5000) (multiplicity 1)
Br (0.5000, 0.5000, 0.0000) (multiplicity 1)

(5)
LiNpO5 | GGA-PBE | relaxed

Calculated values
Formation energy without anion corrections: -1.77 eV/atom

Unit cell a=8.4744 b=6.5174 c=7.2281 alpha=90.00 beta=112.70 gamma=90.00
Space group C2/c (No. 15)
Unique sites:
Li (0.0000, 0.0000, 0.0000) (multiplicity 4)
Np (0.0000, 0.4484, 0.2500) (multiplicity 4)
O (0.0000, 0.1593, 0.2500) (multiplicity 4)
O (0.0069, 0.3204, 0.9264) (multiplicity 8)
O (0.2367, 0.4523, 0.3523) (multiplicity 8)

(6)
Ca2BeAuF | GGA-PBE | relaxed

Calculated values
Formation energy without anion corrections: -0.98 eV/atom

Unit cell a=5.0077 b=5.0077 c=3.8196 alpha=90.00 beta=90.00 gamma=90.00
Space group P4/mmm (No. 123)
Unique sites:
Ca (0.0000, 0.5000, 0.0000) (multiplicity 2)
Be (0.0000, 0.0000, 0.5000) (multiplicity 1)
Au (0.5000, 0.5000, 0.5000) (multiplicity 1)
F (0.0000, 0.0000, 0.0000) (multiplicity 1)

(7)
Tm4ZnPd | GGA-PBE | relaxed

Calculated values
Formation energy from the elements: -2.71 eV/f.u.
E above lowest polymorph: 0.00 kcal/mol of atoms

Unit cell a=13.2919 b=13.2919 c=13.2919 alpha=90.00 beta=90.00 gamma=90.00
Space group F-43m (No. 216)
Unique sites:
Tm (0.0000, 0.0000, 0.1843) (multiplicity 24)
Tm (0.0611, 0.2500, 0.7500) (multiplicity 24)
Tm (0.1133, 0.1133, 0.3867) (multiplicity 16)
Zn (0.1665, 0.1665, 0.1665) (multiplicity 16)
Pd (0.1014, 0.1014, 0.6014) (multiplicity 16)

(8)
Cd3Ru | GGA-PBE | relaxed

Calculated values
Formation energy from the elements: 1.06 eV/f.u.

Unit cell a=2.9562 b=2.9562 c=30.9315 alpha=90.00 beta=90.00 gamma=120.00
Space group R-3m (No. 166, hexagonal axes)
Unique sites:
Cd (0.0000, 0.0000, 0.0000) (multiplicity 3)
Cd (0.0000, 0.0000, 0.2407) (multiplicity 6)
Ru (0.0000, 0.0000, 0.5000) (multiplicity 3)

(9)
ZrGaAs3 | GGA-PBE | relaxed

Calculated values
Formation energy from the elements: 0.88 eV/f.u.
E above lowest polymorph: 0.00 kcal/mol of atoms

Unit cell a=5.2151 b=5.2151 c=5.2151 alpha=90.00 beta=90.00 gamma=90.00
Space group Pm-3m (No. 221)
Unique sites:
Zr (0.0000, 0.0000, 0.0000) (multiplicity 1)
Ga (0.5000, 0.5000, 0.5000) (multiplicity 1)
As (0.0000, 0.0000, 0.5000) (multiplicity 3)

(10)
InFeBr | GGA-PBE | relaxed

Calculated values
Formation energy without anion corrections: 0.52 eV/atom

Unit cell a=6.6610 b=6.6610 c=6.6610 alpha=90.00 beta=90.00 gamma=90.00
Space group F-43m (No. 216)
Unique sites:
In (0.0000, 0.0000, 0.0000) (multiplicity 4)
Fe (0.2500, 0.2500, 0.7500) (multiplicity 4)
Br (0.0000, 0.0000, 0.5000) (multiplicity 4)

(11)
RbPr2TlO5 | GGA-PBE | relaxed

Calculated values
Formation energy without anion corrections: -2.17 eV/atom

Unit cell a=6.9808 b=6.9808 c=12.6217 alpha=90.00 beta=90.00 gamma=90.00
Space group I4/mcm (No. 140)
Unique sites:
Rb (0.0000, 0.0000, 0.2500) (multiplicity 4)
Pr (0.1780, 0.3220, 0.0000) (multiplicity 8)
Tl (0.0000, 0.5000, 0.2500) (multiplicity 4)
O (0.0000, 0.0000, 0.0000) (multiplicity 4)
O (0.1403, 0.3597, 0.3809) (multiplicity 16)

(12)
Te8Pd3Au | GGA-PBE | relaxed

Calculated values
Formation energy without anion corrections: -0.26 eV/atom

Unit cell a=6.5960 b=6.6813 c=8.2827 alpha=107.72 beta=108.24 gamma=102.89
Space group P-1 (No. 2)
Unique sites:
Te (0.1734, 0.4563, 0.1444) (multiplicity 2)
Te (0.1870, 0.4549, 0.6701) (multiplicity 2)
Te (0.2974, 0.0387, 0.3335) (multiplicity 2)
Te (0.3093, 0.0430, 0.8402) (multiplicity 2)
Pd (0.0000, 0.0000, 0.0000) (multiplicity 1)
Pd (0.0000, 0.0000, 0.5000) (multiplicity 1)
Pd (0.5000, 0.5000, 0.0000) (multiplicity 1)
Au (0.5000, 0.5000, 0.5000) (multiplicity 1)

Total magnetic moment list, top to bottom, in μB per formula unit: 0.000; 0.000; 0.000; 0.000; 0.000; 0.000; 0.000; 0.483; 0.000; 2.639; 0.000; 0.000